DFT (PBE) results for a geometry-optimized LiBeCoMo structure. Values from VASP.

Properties
Symmetry: F-43m (216)
Offset from the most stable computed form in kJ/mol of formula units: 0

The structure in Quantum ESPRESSO input format:
```
&SYSTEM
  ibrav = 0, nat = 4, ntyp = 4
/
ATOMIC_SPECIES
Li 6.94 Li.upf
Be 9.01 Be.upf
Co 58.93 Co.upf
Mo 95.94 Mo.upf
CELL_PARAMETERS angstrom
0.000 2.803 2.803
2.803 0.000 2.803
2.803 2.803 0.000
ATOMIC_POSITIONS crystal
Li 0.000 0.000 0.000
Be 0.250 0.250 0.250
Co 0.500 0.500 0.500
Mo 0.750 0.750 0.750
```